No. 1
A plane-wave DFT calculation with PBE was carried out for an optimized crystal structure of Sm3In2Cu4.

Summary:
- DFT formation energy: -0.288 eV per atom
- Density: 8.0 Mg/m³
- V: 389.2 Å³/cell

Cell and atoms, written as CIF:
```
data_Sm3In2Cu4
_cell_length_a 9.932
_cell_length_b 4.414
_cell_length_c 8.901
_cell_angle_alpha 90.00
_cell_angle_beta 94.04
_cell_angle_gamma 90.00
_symmetry_space_group_name_H-M 'C 1 2/m 1'
_symmetry_Int_Tables_number 12
_symmetry_space_group_name_Hall '-C 2y'
loop_
_atom_site_label
_atom_site_type_symbol
_atom_site_fract_x
_atom_site_fract_y
_atom_site_fract_z
Sm1 Sm 0.000 0.000 0.000
Sm2 Sm 0.131 0.500 0.382
In1 In 0.178 0.500 0.773
Cu1 Cu 0.070 0.000 0.623
Cu2 Cu 0.212 0.500 0.072
```

No. 2
A plane-wave DFT calculation with PBE was carried out for an optimized crystal structure of LiSn.

Summary:
- DFT formation energy: -0.323 eV per atom
- Density: 4.9 Mg/m³
- V: 511.1 Å³/cell

Cell and atoms, written as CIF:
```
data_LiSn
_cell_length_a 4.399
_cell_length_b 4.399
_cell_length_c 26.411
_cell_angle_alpha 90.00
_cell_angle_beta 90.00
_cell_angle_gamma 90.00
_symmetry_space_group_name_H-M 'I 41/a m d'
_symmetry_Int_Tables_number 141
loop_
_symmetry_equiv_pos_as_xyz
'x,y,z'
'-x,-y,-z'
'-y+1/4,x+3/4,z+1/4'
'y+1/4,-x+3/4,-z+1/4'
'-x+1/2,-y,z+1/2'
'x+1/2,y,-z+1/2'
'y+1/4,-x+1/4,z+3/4'
'-y+1/4,x+1/4,-z+3/4'
'x,-y,-z'
'-x,y,z'
'-y+1/4,-x+1/4,-z+3/4'
'y+1/4,x+1/4,z+3/4'
'-x+1/2,y,-z+1/2'
'x+1/2,-y,z+1/2'
'y+1/4,x+3/4,-z+1/4'
'-y+1/4,-x+3/4,z+1/4'
'x+1/2,y+1/2,z+1/2'
'-x+1/2,-y+1/2,-z+1/2'
'-y+3/4,x+1/4,z+3/4'
'y+3/4,-x+1/4,-z+3/4'
'-x,-y+1/2,z'
'x,y+1/2,-z'
'y+3/4,-x+3/4,z+1/4'
'-y+3/4,x+3/4,-z+1/4'
'x+1/2,-y+1/2,-z+1/2'
'-x+1/2,y+1/2,z+1/2'
'-y+3/4,-x+3/4,-z+1/4'
'y+3/4,x+3/4,z+1/4'
'-x,y+1/2,-z'
'x,-y+1/2,z'
'y+3/4,x+1/4,-z+3/4'
'-y+3/4,-x+1/4,z+3/4'
loop_
_atom_site_label
_atom_site_type_symbol
_atom_site_fract_x
_atom_site_fract_y
_atom_site_fract_z
Li1 Li 0.000 0.250 0.039
Li2 Li 0.000 0.250 0.875
Sn1 Sn 0.000 0.250 0.206
Sn2 Sn 0.000 0.250 0.375
```

No. 3
A plane-wave DFT calculation with PBE was carried out for an optimized crystal structure of NaTlZn.

Summary:
- DFT formation energy: 0.025 eV per atom
- Energy relative to the lowest polymorph listed for this composition: 0.052 eV/atom
- Density: 6.4 Mg/m³
- V: 151.6 Å³/cell

Cell and atoms, written as CIF:
```
data_NaTlZn
_cell_length_a 3.785
_cell_length_b 5.313
_cell_length_c 7.787
_cell_angle_alpha 85.93
_cell_angle_beta 76.03
_cell_angle_gamma 89.98
_symmetry_space_group_name_H-M 'P -1'
_symmetry_Int_Tables_number 2
_symmetry_space_group_name_Hall '-P 1'
loop_
_atom_site_label
_atom_site_type_symbol
_atom_site_fract_x
_atom_site_fract_y
_atom_site_fract_z
Na1 Na 0.091 0.203 0.319
Tl1 Tl 0.216 0.741 0.064
Zn1 Zn 0.437 0.322 0.630
```

No. 4
A plane-wave DFT calculation with PBE was carried out for an optimized crystal structure of TaNiAs2.

Summary:
- DFT formation energy: 0.067 eV per atom
- Density: 10.1 Mg/m³
- V: 128.3 Å³/cell

Cell and atoms, written as CIF:
```
data_TaNiAs2
_cell_length_a 3.674
_cell_length_b 4.879
_cell_length_c 7.158
_cell_angle_alpha 90.00
_cell_angle_beta 90.00
_cell_angle_gamma 90.00
_symmetry_space_group_name_H-M 'C m m m'
_symmetry_Int_Tables_number 65
_symmetry_space_group_name_Hall '-C 2 2'
loop_
_atom_site_label
_atom_site_type_symbol
_atom_site_fract_x
_atom_site_fract_y
_atom_site_fract_z
Ta1 Ta 0.000 0.000 0.000
Ni1 Ni 0.000 0.000 0.500
As1 As 0.000 0.500 0.269
```

Repeat the fourth record exactly.
A plane-wave DFT calculation with PBE was carried out for an optimized crystal structure of TaNiAs2.

Summary:
- DFT formation energy: 0.067 eV per atom
- Density: 10.1 Mg/m³
- V: 128.3 Å³/cell

Cell and atoms, written as CIF:
```
data_TaNiAs2
_cell_length_a 3.674
_cell_length_b 4.879
_cell_length_c 7.158
_cell_angle_alpha 90.00
_cell_angle_beta 90.00
_cell_angle_gamma 90.00
_symmetry_space_group_name_H-M 'C m m m'
_symmetry_Int_Tables_number 65
_symmetry_space_group_name_Hall '-C 2 2'
loop_
_atom_site_label
_atom_site_type_symbol
_atom_site_fract_x
_atom_site_fract_y
_atom_site_fract_z
Ta1 Ta 0.000 0.000 0.000
Ni1 Ni 0.000 0.000 0.500
As1 As 0.000 0.500 0.269
```